Re2AsBr at its PBEsol-relaxed geometry, computed with SCAN.

Summary:
ΔE to the lowest computed polymorph = 0.0 meV per atom
formation energy (no corrections) = 23.80 kcal/mol of atoms

Cell lengths 2.9529, 4.3481, 5.1975 Å; angles 113.42, 90.00, 90.00 degrees
Positions (direct):
Re (0.0000, 0.0000, 0.0000)
Re (0.5000, 0.0000, 0.5000)
As (0.5000, 0.5000, 0.0000)
Br (0.0000, 0.5000, 0.5000)


ReAsBr2 at its PBEsol-relaxed geometry, computed with SCAN.

Summary:
ΔE to the lowest computed polymorph = 91.9 meV per atom
formation energy (no corrections) = 10.25 kcal/mol of atoms

Cell lengths 3.0288, 3.0288, 8.9651 Å; angles 90.00, 90.00, 90.00 degrees
Positions (direct):
Re (0.0000, 0.0000, 0.5123)
As (0.5000, 0.5000, 0.6794)
Br (0.0000, 0.0000, 0.9858)
Br (0.5000, 0.5000, 0.3225)


ReAsBr2 at its PBEsol-relaxed geometry, computed with SCAN.

Summary:
ΔE to the lowest computed polymorph = 597.3 meV per atom
formation energy (no corrections) = 21.90 kcal/mol of atoms

Cell lengths 2.9812, 3.1451, 9.7005 Å; angles 90.00, 90.00, 118.29 degrees
Positions (direct):
Re (0.5000, 0.0000, 0.5000)
As (0.5000, 0.0000, 0.0000)
Br (0.0000, 0.0000, 0.7096)
Br (0.0000, 0.0000, 0.2904)


ReAsBr2 at its PBEsol-relaxed geometry, computed with SCAN.

Summary:
ΔE to the lowest computed polymorph = 0.0 meV per atom
formation energy (no corrections) = 8.13 kcal/mol of atoms

Cell lengths 4.7213, 6.7884, 6.7884 Å; angles 83.05, 69.65, 69.65 degrees
Positions (direct):
Re (0.7500, 0.5000, 0.5000)
Re (0.0000, 0.0000, 0.0000)
As (0.2500, 0.5000, 0.5000)
As (0.5000, 0.0000, 0.0000)
Br (0.9930, 0.1320, 0.6320)
Br (0.7570, 0.8680, 0.3680)
Br (0.3750, 0.6320, 0.8680)
Br (0.8750, 0.3680, 0.1320)


ReAsBr2 at its PBEsol-relaxed geometry, computed with SCAN.

Summary:
ΔE to the lowest computed polymorph = 1200.9 meV per atom
formation energy (no corrections) = 35.82 kcal/mol of atoms

Cell lengths 4.6393, 4.6393, 4.6393 Å; angles 60.00, 60.00, 60.00 degrees
Positions (direct):
Re (0.0000, 0.0000, 0.0000)
As (0.5000, 0.5000, 0.5000)
Br (0.2500, 0.2500, 0.2500)
Br (0.7500, 0.7500, 0.7500)


Re2AsBr at its PBEsol-relaxed geometry, computed with SCAN.

Summary:
ΔE to the lowest computed polymorph = 333.2 meV per atom
formation energy (no corrections) = 31.48 kcal/mol of atoms

Cell lengths 4.1205, 4.7426, 4.1205 Å; angles 64.25, 90.00, 115.75 degrees
Positions (direct):
Re (0.0000, 0.0000, 0.0000)
Re (0.2500, 0.5000, 0.2500)
As (0.5000, 0.0000, 0.5000)
Br (0.7500, 0.5000, 0.7500)